Record 1
YMgPtO4 | Alexandria via LeMat-Bulk | PBE-GGA | relaxed; M_tot = 0.98 μB per formula unit; uncorrected formation energy = -1.984 eV/atom; E = -0.251 hartree per atom; calculated volume = 190.19 Å³ per cell
1.0
6.3374 0.0000 0.0000
-3.1687 5.5925 -0.4746
0.0000 -3.4407 5.6583
O Mg Y Pt
8 2 2 2
Direct
0.2427 0.4854 0.7014
0.7573 0.5146 0.2986
0.7573 0.5146 0.7159
0.2916 0.0517 0.7759
0.7601 0.0517 0.7759
0.7084 0.9483 0.2241
0.2399 0.9483 0.2241
0.2427 0.4854 0.2841
0.8698 0.7395 0.1198
0.1302 0.2605 0.8802
0.5000 0.0000 0.0000
0.5000 0.0000 0.5000
0.0000 0.5000 0.5000
0.5000 0.5000 0.5000


Record 2
PuMg2O4 | Alexandria via LeMat-Bulk | PBE-GGA | relaxed; M_tot = 4.00 μB per formula unit; uncorrected formation energy = -2.773 eV/atom; E = -0.298 hartree per atom; calculated volume = 100.92 Å³ per cell
1.0
3.4456 0.0000 -0.9429
-0.7929 4.3844 -2.8975
0.0134 -0.1960 6.8161
Mg O Pu
2 4 1
Direct
0.6435 0.7770 0.2871
0.3565 0.2230 0.7129
0.5497 0.3154 0.0993
0.1650 0.9895 0.3301
0.8350 0.0105 0.6699
0.4503 0.6846 0.9007
0.0000 0.0000 0.0000


Record 3
Pu2Mg4O9 | Alexandria via LeMat-Bulk | PBE-GGA | relaxed; M_tot = 6.00 μB per formula unit; uncorrected formation energy = -2.641 eV/atom; E = -0.292 hartree per atom; calculated volume = 364.87 Å³ per cell
1.0
5.3459 0.0008 0.0113
2.6725 4.6296 0.0292
-0.0313 -0.0751 14.7432
O Mg Pu
18 8 4
Direct
0.2965 0.0002 0.2500
0.3385 0.6326 0.0823
0.6612 0.9712 0.4178
0.9996 0.7033 0.2500
0.0004 0.2967 0.7500
0.6323 0.0289 0.0822
0.7028 0.2970 0.2500
0.7035 0.9998 0.7500
0.3677 0.9711 0.9178
0.0290 0.6324 0.5822
0.9710 0.3676 0.4178
0.6615 0.3674 0.9177
0.6328 0.3385 0.5822
0.9713 0.6614 0.9178
0.0287 0.3386 0.0822
0.3672 0.6615 0.4178
0.2972 0.7030 0.7500
0.3388 0.0288 0.5822
0.3330 0.3335 0.1849
0.3334 0.3333 0.9850
0.3333 0.3334 0.4849
0.6667 0.6666 0.5151
0.6670 0.6665 0.8151
0.6666 0.6667 0.0150
0.3337 0.3332 0.6849
0.6663 0.6668 0.3151
0.0003 0.9999 0.8584
0.9997 0.0001 0.3584
0.0003 0.9999 0.6416
0.9997 0.0001 0.1416


Record 4
PuMgO5 | Alexandria via LeMat-Bulk | PBE-GGA | relaxed; M_tot = 0.00 μB per formula unit; uncorrected formation energy = -2.068 eV/atom; E = -0.290 hartree per atom; calculated volume = 381.52 Å³ per cell
1.0
5.2167 -0.1952 0.0000
-2.6911 7.2725 0.0000
0.0000 0.0000 10.1974
O Pu Mg
20 4 4
Direct
0.5706 0.3110 0.6359
0.9804 0.3867 0.9042
0.1424 0.4906 0.5971
0.5349 0.3515 0.1781
0.5562 0.7127 0.0878
0.0349 0.8515 0.3219
0.0562 0.2127 0.4122
0.8576 0.5094 0.4029
0.9651 0.1485 0.6781
0.9294 0.1890 0.1359
0.4651 0.6485 0.8219
0.0196 0.6133 0.0958
0.4804 0.8867 0.5958
0.4294 0.6890 0.3641
0.6424 0.9906 0.9029
0.0706 0.8110 0.8641
0.4438 0.2873 0.9122
0.3576 0.0094 0.0971
0.5196 0.1133 0.4042
0.9438 0.7873 0.5878
0.6878 0.2400 0.0239
0.8122 0.2600 0.5239
0.1878 0.7400 0.4761
0.3122 0.7600 0.9761
0.2226 0.1191 0.2564
0.2774 0.3809 0.7564
0.7226 0.6191 0.2436
0.7774 0.8809 0.7436